[1]
# Tb2FeAg, relaxed, DFT GGA-PBE
data_Tb2FeAg
_space_group_name_H-M_alt 'P 4/m m m'
_space_group_IT_number 123
_space_group_name_Hall '-P 4 2'
_cell_length_a 3.361
_cell_length_b 3.361
_cell_length_c 7.581
_cell_angle_alpha 90.00
_cell_angle_beta 90.00
_cell_angle_gamma 90.00
loop_
_atom_site_label
_atom_site_type_symbol
_atom_site_fract_x
_atom_site_fract_y
_atom_site_fract_z
Tb1 Tb 0.000 0.000 0.216
Fe1 Fe 0.500 0.500 0.000
Ag1 Ag 0.500 0.500 0.500
# Mass density in g/cm3: 9.337
# E_form in eV/atom: -0.092



[2]
# ReP3, relaxed, DFT GGA-PBE
data_ReP3
_space_group_name_H-M_alt 'C m m m'
_space_group_IT_number 65
_space_group_name_Hall '-C 2 2'
_cell_length_a 2.903
_cell_length_b 4.729
_cell_length_c 8.742
_cell_angle_alpha 90.00
_cell_angle_beta 90.00
_cell_angle_gamma 90.00
loop_
_atom_site_label
_atom_site_type_symbol
_atom_site_fract_x
_atom_site_fract_y
_atom_site_fract_z
Re1 Re 0.000 0.000 0.000
P1 P 0.000 0.000 0.500
P2 P 0.000 0.500 0.227
# Mass density in g/cm3: 7.725
# E_form in eV/atom: 0.584
# Polymorph energy (0 for the lowest one) in eV/atom: 0.9192



[3]
# BaTa2As, relaxed, DFT GGA-PBE
data_BaTa2As
_space_group_name_H-M_alt 'C 1 2/m 1'
_space_group_IT_number 12
_space_group_name_Hall '-C 2y'
_cell_length_a 10.074
_cell_length_b 3.397
_cell_length_c 5.936
_cell_angle_alpha 90.00
_cell_angle_beta 102.92
_cell_angle_gamma 90.00
loop_
_atom_site_label
_atom_site_type_symbol
_atom_site_fract_x
_atom_site_fract_y
_atom_site_fract_z
Ba1 Ba 0.000 0.000 0.000
Ta1 Ta 0.209 0.000 0.644
As1 As 0.000 0.500 0.500
# Mass density in g/cm3: 9.629
# E_form in eV/atom: 0.402



[4]
# Ac2Ge3SbIr4, relaxed, DFT GGA-PBE
data_Ac2Ge3SbIr4
_space_group_name_H-M_alt 'P -4 m 2'
_space_group_IT_number 115
_space_group_name_Hall 'P -4 -2'
_cell_length_a 4.415
_cell_length_b 4.415
_cell_length_c 10.543
_cell_angle_alpha 90.00
_cell_angle_beta 90.00
_cell_angle_gamma 90.00
loop_
_atom_site_label
_atom_site_type_symbol
_atom_site_fract_x
_atom_site_fract_y
_atom_site_fract_z
Ac1 Ac 0.000 0.500 0.247
Ge1 Ge 0.000 0.500 0.875
Ge2 Ge 0.500 0.500 0.500
Sb1 Sb 0.000 0.000 0.500
Ir1 Ir 0.000 0.000 0.000
Ir2 Ir 0.000 0.500 0.635
Ir3 Ir 0.500 0.500 0.000
# Mass density in g/cm3: 12.626
# Formation energy (no corrections) in meV/atom: -710



The records above give, respectively, Fermi-level density of states values of 0.600 0.548 0.809 0.396 states/eV per atom.